Compound: Pm13Sm3
Source: Alexandria
Functional: PBE
Structure: relaxed

a b c (Å): 7.366 8.678 8.678
angles (deg): 85.46 90.00 90.00
Element x y z (fractional)
Pm 0.000 0.000 0.000
Pm 0.000 0.416 0.917
Pm 0.000 0.499 0.499
Pm 0.000 0.917 0.416
Pm 0.250 0.167 0.666
Pm 0.250 0.666 0.167
Pm 0.250 0.750 0.750
Pm 0.500 0.000 0.000
Pm 0.500 0.416 0.917
Pm 0.500 0.917 0.416
Pm 0.750 0.167 0.666
Pm 0.750 0.666 0.167
Pm 0.750 0.750 0.750
Sm 0.250 0.250 0.250
Sm 0.500 0.499 0.499
Sm 0.750 0.250 0.250

Computed properties:
ρ ... 7.02 g/cm3
Total moment ... 0.00 μB/cell
Calculated formation energy ... 0.0301 eV/atom
Calculated volume ... 34.56 Å³ per atom
E ... -75.43 eV/cell